Material: H3PdCl
Method: DFT, GGA-PBE
State: optimized geometry

The density of states at the Fermi level comes out at 1.29 states/eV/cell. The offset from the most stable computed form is 621 meV per atom.

The structure belongs to space group Pm-3m (No. 221); the cell edges are 3.635, 3.635 and 3.635 Å and the angles 90.00°, 90.00° and 90.00°. The inequivalent atoms are H at (0.000, 0.000, 0.500), Pd at (0.500, 0.500, 0.500) and Cl at (0.000, 0.000, 0.000).


Material: HoScSO2
Method: DFT, GGA-PBE
State: optimized geometry

The density of states at the Fermi level comes out at 0.00 states/eV/cell. The value obtained for the energy relative to the elements, uncorrected is -3.077 eV per atom.

The structure belongs to space group P2_1/m (No. 11); the cell edges are 6.377, 3.938 and 7.328 Å and the angles 90.00°, 114.05° and 90.00°. The inequivalent atoms are Ho at (0.192, 0.250, 0.442), Sc at (0.162, 0.250, 0.941), S at (0.480, 0.750, 0.729), O at (0.005, 0.750, 0.364) and O at (0.040, 0.750, 0.900).


Material: La3Ga2CuPd6
Method: DFT, GGA-PBE
State: optimized geometry

The density of states at the Fermi level comes out at 4.21 states/eV/cell. The formation energy comes out at -664 meV/atom.

The structure belongs to space group P-3m1 (No. 164); the cell edges are 5.7428, 5.7428 and 8.7576 Å and the angles 90.00°, 90.00° and 120.00°. The inequivalent atoms are La at (0.0000, 0.0000, 0.0000), La at (0.3333, 0.6667, 0.3793), Ga at (0.3333, 0.6667, 0.9719), Cu at (0.0000, 0.0000, 0.5000) and Pd at (0.1718, 0.3436, 0.7225).


Material: HfVTc3
Method: DFT, GGA-PBE
State: optimized geometry

The density of states at the Fermi level comes out at 5.14 states/eV/cell. The formation energy comes out at 650 meV/atom. The offset from the most stable computed form is 0 meV per atom.

The structure belongs to space group Pm-3m (No. 221); the cell edges are 4.465, 4.465 and 4.465 Å and the angles 90.00°, 90.00° and 90.00°. The inequivalent atoms are Hf at (0.000, 0.000, 0.000), V at (0.500, 0.500, 0.500) and Tc at (0.000, 0.500, 0.500).


Material: Dy4TiZn5
Method: DFT, GGA-PBE
State: optimized geometry

The density of states at the Fermi level comes out at 12.09 states/eV/cell. The formation energy comes out at -271 meV/atom.

The structure belongs to space group P4/mmm (No. 123); the cell edges are 3.479, 3.479 and 17.476 Å and the angles 90.00°, 90.00° and 90.00°. The inequivalent atoms are Dy at (0.000, 0.000, 0.105), Dy at (0.000, 0.000, 0.314), Ti at (0.000, 0.000, 0.500), Zn at (0.500, 0.500, 0.000), Zn at (0.500, 0.500, 0.210) and Zn at (0.500, 0.500, 0.422).


Material: Pm2NdSm2Ho4
Method: DFT, GGA-PBE
State: optimized geometry

The density of states at the Fermi level comes out at 23.91 states/eV/cell. The formation energy comes out at 0 meV/atom.

The structure belongs to space group C2/m (No. 12); the cell edges are 18.804, 3.626 and 9.630 Å and the angles 90.00°, 115.75° and 90.00°. The inequivalent atoms are Pm at (0.167, 0.000, 0.002), Nd at (0.000, 0.500, 0.000), Sm at (0.147, 0.500, 0.664), Ho at (0.020, 0.000, 0.335) and Ho at (0.185, 0.500, 0.337).


Material: Hf3NiPb
Method: DFT, GGA-PBE
State: optimized geometry

The density of states at the Fermi level comes out at 2.11 states/eV/cell. The formation energy comes out at 41 meV/atom. The offset from the most stable computed form is 0 meV per atom.

The structure belongs to space group Pm-3m (No. 221); the cell edges are 4.842, 4.842 and 4.842 Å and the angles 90.00°, 90.00° and 90.00°. The inequivalent atoms are Hf at (0.000, 0.000, 0.500), Ni at (0.000, 0.000, 0.000) and Pb at (0.500, 0.500, 0.500).


Material: Be2CdAs
Method: DFT, GGA-PBE
State: optimized geometry

The density of states at the Fermi level comes out at 7.83 states/eV/cell. The formation energy comes out at 646 meV/atom. The offset from the most stable computed form is 446 meV per atom.

The structure belongs to space group Fm-3m (No. 225); the cell edges are 6.261, 6.261 and 6.261 Å and the angles 90.00°, 90.00° and 90.00°. The inequivalent atoms are Be at (0.250, 0.250, 0.250), Cd at (0.000, 0.000, 0.000) and As at (0.000, 0.000, 0.500).


Material: MnBeCr2
Method: DFT, GGA-PBE
State: optimized geometry

The density of states at the Fermi level comes out at 4.26 states/eV/cell. The formation energy comes out at 76 meV/atom.

The structure belongs to space group P4/mmm (No. 123); the cell edges are 3.366, 3.366 and 3.766 Å and the angles 90.00°, 90.00° and 90.00°. The inequivalent atoms are Mn at (0.000, 0.000, 0.000), Be at (0.500, 0.500, 0.000) and Cr at (0.000, 0.500, 0.500).


Material: NdTe2BrO5
Method: DFT, GGA-PBE
State: optimized geometry

The density of states at the Fermi level comes out at 0.00 states/eV/cell. The value obtained for the energy relative to the elements, uncorrected is -1.665 eV per atom.

The structure belongs to space group I4/mmm (No. 139); the cell edges are 5.448, 5.448 and 19.057 Å and the angles 90.00°, 90.00° and 90.00°. The inequivalent atoms are Nd at (0.000, 0.500, 0.250), Te at (0.000, 0.000, 0.107), Te at (0.000, 0.000, 0.371), Br at (0.000, 0.500, 0.000), O at (0.000, 0.000, 0.269) and O at (0.233, 0.233, 0.158).


Material: Pm3NdEr3Te8
Method: DFT, GGA-PBE
State: optimized geometry

The density of states at the Fermi level comes out at 20.70 states/eV/cell. The value obtained for the energy relative to the elements, uncorrected is -1.392 eV per atom.

The structure belongs to space group R-3m (No. 166, hexagonal axes); the cell edges are 8.7610, 8.7610 and 21.4763 Å and the angles 90.00°, 90.00° and 120.00°. The inequivalent atoms are Pm at (0.0000, 0.5000, 0.0000), Nd at (0.0000, 0.0000, 0.5000), Er at (0.0000, 0.5000, 0.5000), Te at (0.0000, 0.0000, 0.2461) and Te at (0.0183, 0.5091, 0.7494).


Material: CaNdNi2
Method: DFT, GGA-PBE
State: optimized geometry

The density of states at the Fermi level comes out at 6.49 states/eV/cell. The formation energy comes out at -226 meV/atom. The offset from the most stable computed form is 0 meV per atom.

The structure belongs to space group Amm2 (No. 38); the cell edges are 4.127, 3.987 and 10.668 Å and the angles 90.00°, 90.00° and 90.00°. The inequivalent atoms are Ca at (0.000, 0.000, 0.000), Nd at (0.500, 0.000, 0.719), Ni at (0.000, 0.000, 0.293) and Ni at (0.500, 0.000, 0.416).